Entry from the Open Quantum Materials Database: crystalline Pm2B4Ir5 at its relaxed geometry (PBE-GGA).

Values from the calculation:
raw total energy	-88.34	eV per cell
ρ	13.66	g/cm3
size of the total moment	0.000	μB/atom

Lattice parameters (Å, degrees): 7.570 6.337 5.700 77.74 54.89 47.38
Sites, in units of the cell vectors:
Pm  0.142  0.142  0.858
Pm  0.858  0.858  0.142
B  0.210  0.526  0.474
B  0.474  0.790  0.210
B  0.526  0.210  0.790
B  0.790  0.474  0.526
Ir  0.000  0.000  0.500
Ir  0.250  0.250  0.250
Ir  0.500  0.500  0.000
Ir  0.500  0.500  0.500
Ir  0.750  0.750  0.750